(1)
Crystalline LuZr2W at its relaxed geometry. Source: Alexandria via LeMat-Bulk, functional PBE.

Values from the calculation:
Offset from the most stable computed form ... 0 meV per atom
Crystal system ... tetragonal

a = 3.452 Å, b = 3.452 Å, c = 7.541 Å
α = 90.00°, β = 90.00°, γ = 90.00°
Sites, in units of the cell vectors:
Lu  0.500  0.500  0.500
Zr  0.000  0.000  0.204
Zr  0.000  0.000  0.796
W  0.500  0.500  0.000

(2)
Crystalline LuZr2W at its relaxed geometry. Source: Alexandria via LeMat-Bulk, functional PBE.

Values from the calculation:
Offset from the most stable computed form ... 146 meV per atom
Crystal system ... trigonal

a = 3.295 Å, b = 3.295 Å, c = 9.910 Å
α = 80.43°, β = 80.43°, γ = 60.00°
Sites, in units of the cell vectors:
W  0.000  0.000  0.000
Zr  0.737  0.737  0.788
Zr  0.263  0.263  0.212
Lu  0.500  0.500  0.500

(3)
Crystalline LuZrW4 at its relaxed geometry. Source: Alexandria via LeMat-Bulk, functional PBE.

Values from the calculation:
Energy ... -10.85 eV/atom
Crystal system ... cubic

a = 5.452 Å, b = 5.452 Å, c = 5.452 Å
α = 60.00°, β = 60.00°, γ = 60.00°
Sites, in units of the cell vectors:
Zr  0.250  0.250  0.250
W  0.625  0.625  0.625
W  0.625  0.625  0.124
W  0.625  0.124  0.625
W  0.124  0.625  0.625
Lu  0.000  0.000  0.000

(4)
Crystalline YLu2 at its relaxed geometry. Source: Alexandria via LeMat-Bulk, functional PBE.

Values from the calculation:
Offset from the most stable computed form ... 0 meV per atom
Crystal system ... tetragonal

a = 3.492 Å, b = 3.492 Å, c = 7.852 Å
α = 102.85°, β = 102.85°, γ = 90.00°
Sites, in units of the cell vectors:
Lu  0.332  0.332  0.663
Lu  0.668  0.668  0.337
Y  0.000  0.000  0.000

(5)
Crystalline YLu5 at its relaxed geometry. Source: Alexandria via LeMat-Bulk, functional PBE.

Values from the calculation:
Energy ... -4.73 eV/atom
Crystal system ... orthorhombic

a = 3.688 Å, b = 5.607 Å, c = 9.219 Å
α = 107.70°, β = 90.00°, γ = 90.00°
Sites, in units of the cell vectors:
Lu  0.500  0.182  0.364
Lu  0.000  0.347  0.693
Lu  0.500  0.818  0.636
Lu  0.500  0.500  0.000
Lu  0.000  0.653  0.307
Y  0.000  0.000  0.000

(6)
Crystalline YLu2 at its relaxed geometry. Source: Alexandria via LeMat-Bulk, functional PBE.

Values from the calculation:
Offset from the most stable computed form ... 225 meV per atom
Crystal system ... cubic

a = 6.479 Å, b = 6.479 Å, c = 6.479 Å
α = 60.00°, β = 60.00°, γ = 60.00°
Sites, in units of the cell vectors:
Lu  0.625  0.625  0.625
Lu  0.125  0.625  0.625
Lu  0.625  0.625  0.125
Lu  0.625  0.125  0.625
Y  0.250  0.250  0.250
Y  0.000  0.000  0.000

(7)
Crystalline YLu6 at its relaxed geometry. Source: Alexandria via LeMat-Bulk, functional PBE.

Values from the calculation:
Energy ... -3.20 eV/atom
Crystal system ... cubic

a = 7.037 Å, b = 7.037 Å, c = 7.037 Å
α = 109.47°, β = 109.47°, γ = 109.47°
Sites, in units of the cell vectors:
Y  0.000  0.000  0.000
Lu  0.750  0.500  0.250
Lu  0.500  0.750  0.250
Lu  0.250  0.750  0.500
Lu  0.500  0.250  0.750
Lu  0.250  0.500  0.750
Lu  0.750  0.250  0.500

(8)
Crystalline Y5Lu at its relaxed geometry. Source: Alexandria via LeMat-Bulk, functional PBE.

Values from the calculation:
Energy ... -6.11 eV/atom
Crystal system ... orthorhombic

a = 5.019 Å, b = 5.025 Å, c = 7.952 Å
α = 108.42°, β = 90.00°, γ = 90.00°
Sites, in units of the cell vectors:
Y  0.000  0.666  0.331
Y  0.000  0.334  0.669
Y  0.500  0.500  0.000
Y  0.500  0.166  0.332
Y  0.500  0.834  0.668
Lu  0.000  0.000  0.000

Magnetic moment readings, ordered: 0.0 0.0 0.0 0.0 0.0 0.5 0.0 0.0 μB per formula unit
Density of states at the Fermi level readings, ordered: 6.00 4.74 4.23 4.10 11.53 6.97 13.84 8.85 states/eV/f.u.
Theoretical density readings, ordered: 10.00 9.83 14.52 8.02 8.81 7.58 7.05 5.41 g/cm3